Record 1
A plane-wave DFT calculation with PBE was carried out for a relaxed LuPdAu2 crystal.

It has space group Fm-3m (No. 225), with a = 6.7249 Å, b = 6.7249 Å, c = 6.7249 Å, α = 90.00°, β = 90.00° and γ = 90.00°. The asymmetric unit holds Lu at (0.0000, 0.0000, 0.0000), Pd at (0.0000, 0.0000, 0.5000) and Au at (0.2500, 0.2500, 0.2500).

As for the volume: 304.12 Å³ per cell. The formation energy comes out at -0.714 eV per atom. The calculation puts the magnetic moment at 0.00 μB/f.u.



Record 2
A plane-wave DFT calculation with PBE was carried out for a relaxed AcUTe3 crystal.

It has space group Cmcm (No. 63), with a = 4.4524 Å, b = 14.4899 Å, c = 11.1846 Å, α = 90.00°, β = 90.00° and γ = 90.00°. The asymmetric unit holds Ac at (0.0000, 0.2485, 0.2500), U at (0.0000, 0.0000, 0.0000), Te at (0.0000, 0.0821, 0.7500) and Te at (0.0000, 0.3565, 0.5619).

As for the volume: 721.58 Å³ per cell. The calculation puts the magnetic moment at 2.89 μB/f.u. Its formation energy without anion corrections is -5.3 eV per formula unit. The value obtained for the energy above the most stable polymorph in this dataset is 26 meV/atom.



Record 3
A plane-wave DFT calculation with PBE was carried out for a relaxed LiMg3Ga3Co2 crystal.

It has space group P-62m (No. 189), with a = 7.3418 Å, b = 7.3418 Å, c = 2.9112 Å, α = 90.00°, β = 90.00° and γ = 120.00°. The asymmetric unit holds Li at (0.0000, 0.0000, 0.0000), Mg at (0.0000, 0.7006, 0.5000), Ga at (0.0000, 0.3757, 0.0000) and Co at (0.3333, 0.6667, 0.5000).

As for the volume: 135.90 Å³ per cell. The formation energy comes out at 0.012 eV per atom. The calculation puts the magnetic moment at 0.00 μB/f.u.